*i*
! PBE Y2ZnNi3, optimized geometry; values from VASP
! mass density	6.418	g/cm³
&SYSTEM
  ibrav = 0, nat = 12, ntyp = 3
/
ATOMIC_SPECIES
Y 88.91 Y.upf
Zn 65.41 Zn.upf
Ni 58.69 Ni.upf
CELL_PARAMETERS angstrom
0.000 4.129 7.088
3.707 0.000 7.088
3.707 4.129 0.000
ATOMIC_POSITIONS angstrom
Y 5.583 4.129 7.088
Y 1.854 2.064 3.544
Y 5.561 6.193 10.632
Y 1.832 4.129 7.088
Zn 3.707 4.129 4.729
Zn 3.707 4.129 9.447
Ni 3.707 2.040 5.915
Ni 3.707 4.129 2.335
Ni 3.707 2.040 8.261
Ni 3.707 6.217 5.915
Ni 3.707 4.129 11.842
Ni 3.707 6.217 8.261

***

*ii*
! PBE Y2ZnNi3, optimized geometry; values from VASP
! mass density	7.105	g/cm³
&SYSTEM
  ibrav = 0, nat = 12, ntyp = 3
/
ATOMIC_SPECIES
Y 88.91 Y.upf
Zn 65.41 Zn.upf
Ni 58.69 Ni.upf
CELL_PARAMETERS angstrom
5.253 0.000 0.000
-2.626 4.549 0.000
0.000 0.000 8.203
ATOMIC_POSITIONS angstrom
Y 0.000 3.033 0.496
Y 0.000 3.033 3.606
Y 2.626 1.516 4.597
Y 2.626 1.516 7.707
Zn 0.000 0.000 0.000
Zn 0.000 0.000 4.101
Ni 0.000 1.528 6.152
Ni -1.303 3.785 6.152
Ni 1.323 0.764 2.051
Ni 1.303 3.785 6.152
Ni 3.929 0.764 2.051
Ni 2.626 3.021 2.051

***

Stability ranking, top and bottom: *ii* is the most stable and *i* is the least stable.